The following is a DFT calculation (PBEsol) of KSc2P after structural relaxation.

ΔE_f = -48.8 kJ/mol of atoms
Crystal system = trigonal

Cell: 3.687 3.687 10.051 Å, 79.43 79.43 60.00°
Atoms (fractional coordinates):
P1 0.000 0.000 0.000
Sc1 0.714 0.714 0.859
Sc2 0.286 0.286 0.141
K1 0.500 0.500 0.500

The following is a DFT calculation (PBEsol) of K2ScP2 after structural relaxation.

ΔE_f = 47.8 kJ/mol of atoms
Crystal system = tetragonal

Cell: 5.399 5.832 5.399 Å, 117.57 90.00 117.57°
Atoms (fractional coordinates):
K1 0.646 0.292 0.646
K2 0.354 0.708 0.354
P1 0.250 0.500 0.750
P2 0.750 0.500 0.250
Sc1 0.000 0.000 0.000

The following is a DFT calculation (PBEsol) of KScP2 after structural relaxation.

Energy above the lowest structure with this stoichiometry = 0.000 eV/atom
ΔE_f = -52.3 kJ/mol of atoms
Crystal system = orthorhombic

Cell: 3.475 3.953 7.396 Å, 105.50 103.59 90.00°
Atoms (fractional coordinates):
Sc1 0.536 0.536 0.071
P1 0.654 0.154 0.309
P2 0.018 0.018 0.036
K1 0.292 0.792 0.584

The following is a DFT calculation (PBEsol) of KScP2 after structural relaxation.

Energy above the lowest structure with this stoichiometry = 0.300 eV/atom
ΔE_f = -23.4 kJ/mol of atoms
Crystal system = orthorhombic

Cell: 2.799 5.248 5.248 Å, 94.69 90.00 90.00°
Atoms (fractional coordinates):
P1 0.000 0.500 0.000
P2 0.000 0.000 0.500
Sc1 0.500 0.000 0.000
K1 0.500 0.500 0.500

The following is a DFT calculation (PBEsol) of KScP2 after structural relaxation.

Energy above the lowest structure with this stoichiometry = 0.299 eV/atom
ΔE_f = -23.5 kJ/mol of atoms
Crystal system = tetragonal

Cell: 4.530 4.954 4.530 Å, 62.80 90.00 117.20°
Atoms (fractional coordinates):
P1 0.750 0.500 0.750
P2 0.250 0.500 0.250
Sc1 0.000 0.000 0.000
K1 0.500 0.000 0.500

The following is a DFT calculation (PBEsol) of KPSe3 after structural relaxation.

Calculated total energy = -4.193 eV/atom
Crystal system = trigonal

Cell: 7.207 7.207 18.800 Å, 90.00 90.00 120.00°
Atoms (fractional coordinates):
P1 0.142 0.074 0.722
P2 0.932 0.858 0.388
P3 0.068 0.926 0.278
P4 0.074 0.142 0.612
P5 0.926 0.068 0.055
P6 0.858 0.932 0.945
Se1 0.268 0.276 0.061
Se2 0.728 0.203 0.082
Se3 0.191 0.924 0.558
Se4 0.733 0.809 0.224
Se5 0.008 0.732 0.727
Se6 0.272 0.475 0.585
Se7 0.724 0.992 0.394
Se8 0.475 0.272 0.748
Se9 0.267 0.076 0.442
Se10 0.525 0.797 0.918
Se11 0.809 0.733 0.109
Se12 0.992 0.724 0.939
Se13 0.203 0.728 0.252
Se14 0.924 0.191 0.776
Se15 0.276 0.268 0.273
Se16 0.732 0.008 0.606
Se17 0.797 0.525 0.415
Se18 0.076 0.267 0.891
K1 0.735 0.275 0.255
K2 0.275 0.735 0.078
K3 0.265 0.541 0.412
K4 0.541 0.265 0.922
K5 0.725 0.459 0.588
K6 0.459 0.725 0.745

The following is a DFT calculation (PBEsol) of K2PSe after structural relaxation.

Energy above the lowest structure with this stoichiometry = 0.000 eV/atom
Crystal system = tetragonal

Cell: 2.800 6.029 6.029 Å, 90.00 90.00 90.00°
Atoms (fractional coordinates):
K1 0.000 0.500 0.000
K2 0.000 0.000 0.500
P1 0.500 0.000 0.000
Se1 0.500 0.500 0.500

The following is a DFT calculation (PBEsol) of KP2Se4 after structural relaxation.

Calculated total energy = -4.325 eV/atom
Crystal system = triclinic

Cell: 6.187 6.924 8.996 Å, 86.55 81.97 75.73°
Atoms (fractional coordinates):
Se1 0.923 0.291 0.270
Se2 0.417 0.584 0.389
Se3 0.549 0.909 0.749
Se4 0.451 0.091 0.251
Se5 0.824 0.186 0.906
Se6 0.583 0.416 0.611
Se7 0.077 0.709 0.730
Se8 0.176 0.814 0.094
P1 0.574 0.372 0.186
P2 0.834 0.858 0.938
P3 0.426 0.628 0.814
P4 0.166 0.142 0.062
K1 0.847 0.777 0.405
K2 0.153 0.223 0.595

The following is a DFT calculation (PBEsol) of KPSe after structural relaxation.

Energy above the lowest structure with this stoichiometry = 0.957 eV/atom
Crystal system = cubic

Cell: 4.857 4.857 4.857 Å, 60.00 60.00 60.00°
Atoms (fractional coordinates):
K1 0.250 0.250 0.250
P1 0.000 0.000 0.000
Se1 0.500 0.500 0.500

The following is a DFT calculation (PBEsol) of KPSe after structural relaxation.

Energy above the lowest structure with this stoichiometry = 0.000 eV/atom
Crystal system = orthorhombic

Cell: 4.495 6.344 7.641 Å, 114.53 90.00 90.00°
Atoms (fractional coordinates):
K1 0.250 0.331 0.662
K2 0.750 0.669 0.338
P1 0.000 0.000 0.000
P2 0.500 0.000 0.000
Se1 0.750 0.166 0.332
Se2 0.250 0.834 0.668

The following is a DFT calculation (PBEsol) of K2PSe after structural relaxation.

Energy above the lowest structure with this stoichiometry = 0.013 eV/atom
Crystal system = tetragonal

Cell: 4.426 4.426 5.761 Å, 112.59 112.59 90.00°
Atoms (fractional coordinates):
P1 0.000 0.000 0.000
Se1 0.500 0.500 0.000
K1 0.250 0.750 0.500
K2 0.750 0.250 0.500

The following is a DFT calculation (PBEsol) of K2PSe after structural relaxation.

Energy above the lowest structure with this stoichiometry = 0.067 eV/atom
Crystal system = trigonal

Cell: 4.461 4.461 9.153 Å, 75.90 75.90 60.00°
Atoms (fractional coordinates):
K1 0.957 0.957 0.128
K2 0.793 0.793 0.621
P1 0.533 0.533 0.401
Se1 0.217 0.217 0.350

The following is a DFT calculation (PBEsol) of KPSe2 after structural relaxation.

Calculated total energy = -4.182 eV/atom
Crystal system = triclinic

Cell: 6.250 6.351 12.036 Å, 105.78 94.04 107.79°
Atoms (fractional coordinates):
K1 0.682 0.433 0.862
K2 0.318 0.567 0.138
K3 0.705 0.843 0.566
K4 0.295 0.157 0.434
P1 0.193 0.618 0.658
P2 0.219 0.037 0.921
P3 0.807 0.382 0.342
P4 0.781 0.963 0.079
Se1 0.761 0.330 0.133
Se2 0.765 0.000 0.311
Se3 0.842 0.986 0.879
Se4 0.235 0.000 0.689
Se5 0.822 0.406 0.609
Se6 0.178 0.594 0.391
Se7 0.158 0.014 0.121
Se8 0.239 0.670 0.867

The following is a DFT calculation (PBEsol) of K3PSe4 after structural relaxation.

Calculated total energy = -3.930 eV/atom
Crystal system = orthorhombic

Cell: 9.246 9.642 10.785 Å, 90.00 90.00 90.00°
Atoms (fractional coordinates):
P1 0.727 0.524 0.750
P2 0.273 0.476 0.250
P3 0.773 0.024 0.250
P4 0.227 0.976 0.750
Se1 0.984 0.911 0.250
Se2 0.685 0.750 0.750
Se3 0.315 0.250 0.250
Se4 0.185 0.750 0.750
Se5 0.484 0.589 0.250
Se6 0.516 0.411 0.750
Se7 0.850 0.470 0.920
Se8 0.650 0.970 0.080
Se9 0.150 0.530 0.420
Se10 0.650 0.970 0.420
Se11 0.150 0.530 0.080
Se12 0.850 0.470 0.580
Se13 0.815 0.250 0.250
Se14 0.350 0.030 0.920
Se15 0.350 0.030 0.580
Se16 0.016 0.089 0.750
K1 0.146 0.417 0.750
K2 0.561 0.306 0.456
K3 0.439 0.694 0.956
K4 0.561 0.306 0.044
K5 0.354 0.917 0.250
K6 0.854 0.583 0.250
K7 0.646 0.083 0.750
K8 0.939 0.806 0.544
K9 0.939 0.806 0.956
K10 0.061 0.194 0.456
K11 0.061 0.194 0.044
K12 0.439 0.694 0.544

The following is a DFT calculation (PBEsol) of K2PSe after structural relaxation.

Energy above the lowest structure with this stoichiometry = 0.116 eV/atom
Crystal system = tetragonal

Cell: 3.679 3.679 9.592 Å, 90.00 90.00 90.00°
Atoms (fractional coordinates):
K1 0.500 0.500 0.341
K2 0.000 0.000 0.908
Se1 0.500 0.500 0.657
P1 0.000 0.000 0.593

The following is a DFT calculation (PBEsol) of KPSe2 after structural relaxation.

Calculated total energy = -3.545 eV/atom
Crystal system = tetragonal

Cell: 3.877 4.645 4.645 Å, 90.00 90.00 90.00°
Atoms (fractional coordinates):
Se1 0.000 0.000 0.500
Se2 0.000 0.500 0.000
P1 0.500 0.000 0.000
K1 0.500 0.500 0.500

The following is a DFT calculation (PBEsol) of KPSe2 after structural relaxation.

Calculated total energy = -3.633 eV/atom
Crystal system = tetragonal

Cell: 3.382 3.382 7.718 Å, 90.00 90.00 90.00°
Atoms (fractional coordinates):
P1 0.500 0.500 0.500
Se1 0.000 0.000 0.302
Se2 0.000 0.000 0.698
K1 0.500 0.500 0.000

The following is a DFT calculation (PBEsol) of K2PSe after structural relaxation.

Energy above the lowest structure with this stoichiometry = 0.253 eV/atom
Crystal system = cubic

Cell: 5.264 5.264 5.264 Å, 60.00 60.00 60.00°
Atoms (fractional coordinates):
Se1 0.250 0.250 0.250
P1 0.500 0.500 0.500
K1 0.750 0.750 0.750
K2 0.000 0.000 0.000

The following is a DFT calculation (PBEsol) of KPSe2 after structural relaxation.

Calculated total energy = -3.494 eV/atom
Crystal system = tetragonal

Cell: 4.872 4.872 4.872 Å, 97.06 116.01 116.01°
Atoms (fractional coordinates):
P1 0.000 0.500 0.500
Se1 0.500 0.750 0.250
Se2 0.500 0.250 0.750
K1 0.000 0.000 0.000

The following is a DFT calculation (PBEsol) of KSiP2 after structural relaxation.

Calculated total energy = -3.952 eV/atom
Crystal system = tetragonal

Cell: 4.159 4.159 5.196 Å, 113.59 113.59 90.00°
Atoms (fractional coordinates):
P1 0.750 0.250 0.500
P2 0.000 0.000 0.000
Si1 0.500 0.500 0.000
K1 0.250 0.750 0.500